No. 1
A plane-wave DFT calculation with PBE was carried out for an optimized crystal structure of Zr2Si4Mo3.

```
18
Lattice="6.719 0.000 0.000 0.000 6.773 0.000 -2.185 0.000 6.253" Properties=species:S:1:pos:R:3 pbc="T T T"
Zr 1.153 1.147 0.396
Zr 0.061 2.240 3.523
Zr 4.473 4.534 2.730
Zr 3.381 5.627 5.856
Si -1.316 3.677 5.384
Si -0.224 6.483 2.258
Si 1.973 4.276 3.942
Si 3.066 5.885 0.816
Si 1.468 0.889 5.437
Si 2.561 2.498 2.311
Si 4.758 0.291 3.995
Si 5.851 3.096 0.868
Mo 1.095 4.491 1.562
Mo 0.002 5.669 4.689
Mo 2.267 0.000 3.126
Mo 3.359 3.387 0.000
Mo 4.532 1.104 1.564
Mo 3.439 2.282 4.690
```

Properties
**Crystal system**: monoclinic
**Symmetry**: P2_1/c, No. 14
**Spin magnetization**: 0.000 μB/atom
**Raw formation energy**: -0.70 eV per atom

No. 2
A plane-wave DFT calculation with PBE was carried out for an optimized crystal structure of Pm8Te4AuSe3.

```
16
Lattice="7.483 -4.321 0.000 7.483 4.321 0.000 -4.988 0.000 7.213" Properties=species:S:1:pos:R:3 pbc="T T T"
Pm -0.004 0.000 5.236
Pm 3.749 2.168 5.245
Pm 6.230 2.168 1.968
Pm 2.499 0.000 2.019
Pm 7.479 0.000 5.194
Pm 3.749 -2.168 5.245
Pm 6.230 -2.168 1.968
Pm 9.983 0.000 1.977
Te 0.000 0.000 0.000
Te 3.742 2.160 0.000
Te 3.742 -2.160 0.000
Te 7.483 0.000 0.000
Au -2.494 0.000 3.606
Se 1.248 2.160 3.606
Se 1.248 -2.160 3.606
Se 4.989 0.000 3.606
```

Properties
**Crystal system**: monoclinic
**Symmetry**: C2/m, No. 12
**Spin magnetization**: 0.000 μB/atom
**Raw formation energy**: -1.51 eV per atom

No. 3
A plane-wave DFT calculation with PBE was carried out for an optimized crystal structure of P5Cl3.

```
16
Lattice="9.195 0.000 0.000 -4.598 7.963 0.000 0.000 0.000 4.671" Properties=species:S:1:pos:R:3 pbc="T T T"
P -0.646 1.120 1.168
P -3.951 6.844 3.503
P 1.293 0.000 1.168
P 0.646 1.120 3.503
P 0.000 5.309 0.000
P 0.000 5.309 2.336
P 4.598 2.654 0.000
P 4.598 2.654 2.336
P 7.902 0.000 3.503
P 3.951 6.844 1.168
Cl -1.802 3.121 3.503
Cl -2.796 4.842 1.168
Cl 3.604 0.000 3.503
Cl 1.802 3.121 1.168
Cl 5.591 0.000 1.168
Cl 2.796 4.842 3.503
```

Properties
**Crystal system**: hexagonal
**Symmetry**: P6_3/mcm, No. 193
**Spin magnetization**: 0.000 μB/atom
**Raw formation energy**: 0.49 eV per atom

No. 4
A plane-wave DFT calculation with PBE was carried out for an optimized crystal structure of CsBTeI2.

```
5
Lattice="6.990 0.000 0.000 0.000 6.990 0.000 0.000 0.000 5.803" Properties=species:S:1:pos:R:3 pbc="T T T"
Cs 0.000 0.000 0.000
B 0.000 0.000 2.901
Te 3.495 3.495 2.901
I 0.000 3.495 0.000
I 3.495 0.000 0.000
```

Properties
**Crystal system**: tetragonal
**Symmetry**: P4/mmm, No. 123
**Spin magnetization**: 0.576 μB/atom
**Raw formation energy**: 1.22 eV per atom

No. 5
A plane-wave DFT calculation with PBE was carried out for an optimized crystal structure of TbPr3Ga2.

```
12
Lattice="8.819 -2.299 0.000 8.819 2.299 0.000 -3.689 0.000 8.609" Properties=species:S:1:pos:R:3 pbc="T T T"
Tb 1.537 0.000 1.194
Tb 12.412 0.000 7.415
Pr -1.753 0.000 5.918
Pr 5.415 0.000 0.591
Pr 4.226 0.000 4.495
Pr 9.723 0.000 4.114
Pr 8.533 0.000 8.018
Pr 15.702 0.000 2.691
Ga 1.489 0.000 6.172
Ga 5.541 0.000 7.382
Ga 8.407 0.000 1.227
Ga 12.459 0.000 2.437
```

Properties
**Crystal system**: monoclinic
**Symmetry**: C2/m, No. 12
**ΔH_f (0 K)**: -333 meV/atom
**Spin magnetization**: 0.000 μB/atom

No. 6
A plane-wave DFT calculation with PBE was carried out for an optimized crystal structure of Pr6GaNi2.

```
18
Lattice="-4.733 5.082 5.224 4.733 -5.082 5.224 4.733 5.082 -5.224" Properties=species:S:1:pos:R:3 pbc="T T T"
Pr 4.733 3.109 -2.797
Pr 2.730 1.831 0.000
Pr 6.736 1.831 0.000
Pr 1.819 5.082 -1.817
Pr 2.914 0.000 3.407
Pr 0.000 1.973 2.427
Pr 4.733 3.109 2.797
Pr 1.819 5.082 1.817
Pr 2.914 0.000 7.040
Pr -2.003 3.251 5.224
Pr 2.003 3.251 5.224
Pr 0.000 1.973 8.020
Ga 0.000 0.000 0.000
Ga 0.000 0.000 5.224
Ni 4.733 0.000 1.243
Ni 0.000 3.609 0.000
Ni 0.000 6.555 0.000
Ni 0.000 5.082 3.980
```

Properties
**Crystal system**: orthorhombic
**Symmetry**: Immm, No. 71
**ΔH_f (0 K)**: -249 meV/atom
**Spin magnetization**: 0.000 μB/atom

No. 7
A plane-wave DFT calculation with PBE was carried out for an optimized crystal structure of Pu2ThTl3Te6.

```
12
Lattice="3.928 -6.802 0.000 3.928 6.802 0.000 -2.616 0.000 8.190" Properties=species:S:1:pos:R:3 pbc="T T T"
Pu 3.928 4.537 0.000
Pu 3.928 -4.537 0.000
Th 3.928 0.000 0.000
Tl -1.308 0.000 4.095
Tl 2.620 2.278 4.095
Tl 2.620 -2.278 4.095
Te 0.011 2.252 6.413
Te 1.329 0.000 1.785
Te 0.011 -2.252 6.413
Te 5.229 2.252 1.777
Te 3.911 0.000 6.404
Te 5.229 -2.252 1.777
```

Properties
**Crystal system**: monoclinic
**Symmetry**: C2/m, No. 12
**Spin magnetization**: 0.917 μB/atom
**Raw formation energy**: -0.84 eV per atom

No. 8
A plane-wave DFT calculation with PBE was carried out for an optimized crystal structure of Ba3Li2In2Au4.

```
11
Lattice="4.841 0.000 0.000 -2.421 4.193 0.000 0.000 0.000 16.576" Properties=species:S:1:pos:R:3 pbc="T T T"
Ba 0.000 0.000 0.000
Ba 0.000 0.000 4.669
Ba 0.000 0.000 11.907
Li 0.000 2.795 9.166
Li 2.421 1.398 7.410
In 0.000 2.795 2.381
In 2.421 1.398 14.195
Au 0.000 2.795 6.566
Au 0.000 2.795 14.198
Au 2.421 1.398 2.379
Au 2.421 1.398 10.010
```

Properties
**Crystal system**: trigonal
**Symmetry**: P-3m1, No. 164
**ΔH_f (0 K)**: -506 meV/atom
**Spin magnetization**: 0.000 μB/atom

| no. | calculated total energy (eV per atom) |
| --- | --- |
| 1 | -8.6238 |
| 2 | -5.5339 |
| 3 | -3.5837 |
| 4 | -1.5335 |
| 5 | -4.5031 |
| 6 | -5.0566 |
| 7 | -6.0125 |
| 8 | -3.0681 |